Record 1
{
  "formula": "LiLa2PH",
  "functional": "PBE-GGA",
  "state": "relaxed",
  "total_magnetization_mub_per_fu": 0.00,
  "sg": "P4/mmm",
  "final_energy_ev_per_cell": -23.77,
  "lattice": [[4.9091, 0.0000, 0.0000], [0.0000, 4.9091, 0.0000], [0.0000, 0.0000, 4.0284]],
  "species": ["Li", "La", "La", "P", "H"],
  "frac_coords": [[0.0000, 0.0000, 0.0000], [0.0000, 0.5000, 0.5000], [0.5000, 0.0000, 0.5000], [0.5000, 0.5000, 0.0000], [0.0000, 0.0000, 0.5000]]
}

***

Record 2
{
  "formula": "La6ErSc",
  "functional": "PBE-GGA",
  "state": "relaxed",
  "ef_ev_per_atom": 0.05,
  "total_magnetization_mub_per_fu": 0.00,
  "relative_energy_mev_per_atom": 26,
  "sg": "P-6m2",
  "lattice": [[7.3946, 0.0000, 0.0000], [-3.6973, 6.4039, 0.0000], [0.0000, 0.0000, 5.8799]],
  "species": ["La", "La", "La", "La", "La", "La", "Er", "Sc"],
  "frac_coords": [[0.0041, 0.5021, 0.0000], [0.3206, 0.1603, 0.5000], [0.4979, 0.5021, 0.0000], [0.4979, 0.9959, 0.0000], [0.8397, 0.1603, 0.5000], [0.8397, 0.6794, 0.5000], [0.3333, 0.6667, 0.5000], [0.0000, 0.0000, 0.0000]]
}

***

Record 3
{
  "formula": "Zr2TiBSb",
  "functional": "PBE-GGA",
  "state": "relaxed",
  "total_magnetization_mub_per_fu": 1.95,
  "relative_energy_mev_per_atom": 0,
  "sg": "P4/mmm",
  "raw_formation_energy_mev_per_atom": 1296,
  "lattice": [[5.4054, 0.0000, 0.0000], [0.0000, 5.4054, 0.0000], [0.0000, 0.0000, 4.1978]],
  "species": ["Zr", "Zr", "Ti", "B", "Sb"],
  "frac_coords": [[0.0000, 0.5000, 0.0000], [0.5000, 0.0000, 0.0000], [0.0000, 0.0000, 0.5000], [0.5000, 0.5000, 0.5000], [0.5000, 0.5000, 0.0000]]
}

***

Record 4
{
  "formula": "LaRuBr2",
  "functional": "PBE-GGA",
  "state": "relaxed",
  "total_magnetization_mub_per_fu": 0.00,
  "relative_energy_mev_per_atom": 63,
  "sg": "R3m",
  "raw_formation_energy_mev_per_atom": -690,
  "lattice": [[2.1196, 1.2237, 7.5008], [-2.1196, 1.2237, 7.5008], [0.0000, -2.4475, 7.5008]],
  "species": ["La", "Ru", "Br", "Br"],
  "frac_coords": [[0.0000, 0.0000, 0.0000], [0.2592, 0.2592, 0.2592], [0.5696, 0.5696, 0.5696], [0.7533, 0.7533, 0.7533]]
}

***

Record 5
{
  "formula": "ScFe",
  "functional": "PBE-GGA",
  "state": "relaxed",
  "ef_ev_per_atom": 0.21,
  "total_magnetization_mub_per_fu": 1.67,
  "sg": "P-3m1",
  "lattice": [[3.1385, 0.0000, 0.0000], [-1.5692, 2.7180, 0.0000], [0.0000, 0.0000, 8.3493]],
  "species": ["Sc", "Sc", "Fe", "Fe"],
  "frac_coords": [[0.3333, 0.6667, 0.3281], [0.6667, 0.3333, 0.6719], [0.3333, 0.6667, 0.9085], [0.6667, 0.3333, 0.0915]]
}

***

Record 6
{
  "formula": "LiMgBi2",
  "functional": "PBE-GGA",
  "state": "relaxed",
  "ef_ev_per_atom": -0.24,
  "total_magnetization_mub_per_fu": 0.00,
  "sg": "P4/mmm",
  "lattice": [[4.9393, 0.0000, 0.0000], [0.0000, 4.9393, 0.0000], [0.0000, 0.0000, 4.2265]],
  "species": ["Li", "Mg", "Bi", "Bi"],
  "frac_coords": [[0.0000, 0.0000, 0.0000], [0.5000, 0.5000, 0.0000], [0.0000, 0.5000, 0.5000], [0.5000, 0.0000, 0.5000]]
}

***

Record 7
{
  "formula": "KPaFeN4",
  "functional": "PBE-GGA",
  "state": "relaxed",
  "total_magnetization_mub_per_fu": 2.01,
  "sg": "P2_1/m",
  "raw_formation_energy_mev_per_atom": -470,
  "lattice": [[5.6931, 0.0000, 0.0000], [0.0000, 5.3927, 0.0000], [-2.1151, 0.0000, 7.4412]],
  "species": ["K", "K", "Pa", "Pa", "Fe", "Fe", "N", "N", "N", "N", "N", "N", "N", "N"],
  "frac_coords": [[0.2012, 0.2500, 0.4301], [0.7988, 0.7500, 0.5699], [0.2547, 0.2500, 0.9454], [0.7453, 0.7500, 0.0546], [0.2849, 0.7500, 0.1758], [0.7151, 0.2500, 0.8242], [0.0653, 0.7500, 0.2929], [0.0911, 0.7500, 0.9577], [0.4811, 0.5055, 0.1816], [0.4811, 0.9945, 0.1816], [0.5189, 0.0055, 0.8184], [0.5189, 0.4945, 0.8184], [0.9089, 0.2500, 0.0423], [0.9347, 0.2500, 0.7071]]
}

***

Record 8
{
  "formula": "ScV2P",
  "functional": "PBE-GGA",
  "state": "relaxed",
  "ef_ev_per_atom": -0.09,
  "total_magnetization_mub_per_fu": 0.00,
  "relative_energy_mev_per_atom": 0,
  "sg": "I-42d",
  "lattice": [[-1.8483, 1.8483, 9.2214], [1.8483, -1.8483, 9.2214], [1.8483, 1.8483, -9.2214]],
  "species": ["Sc", "Sc", "V", "V", "V", "V", "P", "P"],
  "frac_coords": [[0.0000, 0.0000, 0.0000], [0.7500, 0.2500, 0.5000], [0.1584, 0.6250, 0.0334], [0.3750, 0.4084, 0.5334], [0.5916, 0.1250, 0.9666], [0.8750, 0.8416, 0.4666], [0.2500, 0.7500, 0.5000], [0.5000, 0.5000, 0.0000]]
}

***

Record 9
{
  "formula": "Tl2CoHg",
  "functional": "PBE-GGA",
  "state": "relaxed",
  "ef_ev_per_atom": 0.34,
  "total_magnetization_mub_per_fu": 0.01,
  "relative_energy_mev_per_atom": 27,
  "sg": "Imm2",
  "lattice": [[-1.5258, 2.2312, 6.7785], [1.5258, -2.2312, 6.7785], [1.5258, 2.2312, -6.7785]],
  "species": ["Tl", "Tl", "Co", "Hg"],
  "frac_coords": [[0.0000, 0.0000, 0.0000], [0.6838, 0.1838, 0.5000], [0.1840, 0.6840, 0.5000], [0.3563, 0.3563, 0.0000]]
}

***

Record 10
{
  "formula": "BaTaSb2I",
  "functional": "PBE-GGA",
  "state": "relaxed",
  "total_magnetization_mub_per_fu": 0.38,
  "relative_energy_mev_per_atom": 0,
  "sg": "P4/mmm",
  "raw_formation_energy_mev_per_atom": -288,
  "lattice": [[5.4049, 0.0000, 0.0000], [0.0000, 5.4049, 0.0000], [0.0000, 0.0000, 5.9170]],
  "species": ["Ba", "Ta", "Sb", "Sb", "I"],
  "frac_coords": [[0.0000, 0.0000, 0.0000], [0.5000, 0.5000, 0.5000], [0.0000, 0.5000, 0.5000], [0.5000, 0.0000, 0.5000], [0.5000, 0.5000, 0.0000]]
}

***

Record 11
{
  "formula": "NiHgC",
  "functional": "PBE-GGA",
  "state": "relaxed",
  "ef_ev_per_atom": 0.86,
  "total_magnetization_mub_per_fu": 0.00,
  "relative_energy_mev_per_atom": 66,
  "sg": "Pm",
  "lattice": [[2.7312, 0.0000, 0.0000], [0.0000, 6.2367, 0.0000], [-0.0012, 0.0000, 2.7562]],
  "species": ["Ni", "Hg", "C"],
  "frac_coords": [[0.0000, 0.0000, 0.0000], [0.0078, 0.5000, 0.9828], [0.4992, 0.0000, 0.5009]]
}

***

Record 12
{
  "formula": "PuHgGePb",
  "functional": "PBE-GGA",
  "state": "relaxed",
  "ef_ev_per_atom": -0.05,
  "total_magnetization_mub_per_fu": 5.80,
  "sg": "F-43m",
  "lattice": [[0.0000, 3.7157, 3.7157], [3.7157, 0.0000, 3.7157], [3.7157, 3.7157, 0.0000]],
  "species": ["Pu", "Hg", "Ge", "Pb"],
  "frac_coords": [[0.0000, 0.0000, 0.0000], [0.7500, 0.7500, 0.7500], [0.2500, 0.2500, 0.2500], [0.5000, 0.5000, 0.5000]]
}

***

Record 13
{
  "formula": "GdSnH",
  "functional": "PBE-GGA",
  "state": "relaxed",
  "total_magnetization_mub_per_fu": 7.41,
  "relative_energy_mev_per_atom": 221,
  "sg": "I4mm",
  "lattice": [[-1.6220, 1.6220, 5.7268], [1.6220, -1.6220, 5.7268], [1.6220, 1.6220, -5.7268]],
  "species": ["Gd", "Sn", "H"],
  "frac_coords": [[0.0000, 0.0000, 0.0000], [0.2808, 0.2808, 0.0000], [0.5434, 0.5434, 0.0000]]
}

***

Record 14
{
  "formula": "La2Nd3Y8",
  "functional": "PBE-GGA",
  "state": "relaxed",
  "ef_ev_per_atom": 0.25,
  "total_magnetization_mub_per_fu": 0.00,
  "relative_energy_mev_per_atom": 19,
  "sg": "C2/m",
  "lattice": [[10.4496, -3.8674, 0.0000], [10.4496, 3.8674, 0.0000], [-0.0006, 0.0000, 5.6909]],
  "species": ["La", "La", "Nd", "Nd", "Nd", "Y", "Y", "Y", "Y", "Y", "Y", "Y", "Y"],
  "frac_coords": [[0.2415, 0.2415, 0.9996], [0.7585, 0.7585, 0.0004], [0.0000, 0.0000, 0.0000], [0.2929, 0.7071, 0.5000], [0.7071, 0.2929, 0.5000], [0.1292, 0.1292, 0.4999], [0.1830, 0.6045, 0.9999], [0.3367, 0.3367, 0.4997], [0.3955, 0.8170, 0.0001], [0.6045, 0.1830, 0.9999], [0.6633, 0.6633, 0.5003], [0.8170, 0.3955, 0.0001], [0.8708, 0.8708, 0.5001]]
}

***

Record 15
{
  "formula": "HfFe2Cl8",
  "functional": "PBE-GGA",
  "state": "relaxed",
  "total_magnetization_mub_per_fu": 8.00,
  "sg": "C2/m",
  "raw_formation_energy_mev_per_atom": -1160,
  "lattice": [[7.3408, -3.8480, 0.0000], [7.3408, 3.8480, 0.0000], [-0.1743, 0.0000, 6.0030]],
  "species": ["Hf", "Fe", "Fe", "Cl", "Cl", "Cl", "Cl", "Cl", "Cl", "Cl", "Cl"],
  "frac_coords": [[0.0000, 0.0000, 0.0000], [0.1549, 0.1549, 0.3798], [0.8451, 0.8451, 0.6202], [0.1379, 0.1379, 0.7681], [0.1623, 0.6989, 0.7634], [0.2960, 0.2960, 0.2933], [0.3011, 0.8377, 0.2366], [0.6989, 0.1623, 0.7634], [0.7040, 0.7040, 0.7067], [0.8377, 0.3011, 0.2366], [0.8621, 0.8621, 0.2319]]
}

***

Record 16
{
  "formula": "Ba2Mg12Zn3Ag",
  "functional": "PBE-GGA",
  "state": "relaxed",
  "ef_ev_per_atom": 0.20,
  "total_magnetization_mub_per_fu": 0.00,
  "sg": "R-3m",
  "lattice": [[4.6632, 2.6923, 7.4431], [-4.6632, 2.6923, 7.4431], [0.0000, -5.3846, 7.4431]],
  "species": ["Ba", "Ba", "Mg", "Mg", "Mg", "Mg", "Mg", "Mg", "Mg", "Mg", "Mg", "Mg", "Mg", "Mg", "Zn", "Zn", "Zn", "Ag"],
  "frac_coords": [[0.1188, 0.1188, 0.1188], [0.8812, 0.8812, 0.8812], [0.1505, 0.5991, 0.5991], [0.1621, 0.1621, 0.5865], [0.1621, 0.5865, 0.1621], [0.4009, 0.4009, 0.8495], [0.4009, 0.8495, 0.4009], [0.4135, 0.8379, 0.8379], [0.5865, 0.1621, 0.1621], [0.5991, 0.1505, 0.5991], [0.5991, 0.5991, 0.1505], [0.8379, 0.4135, 0.8379], [0.8379, 0.8379, 0.4135], [0.8495, 0.4009, 0.4009], [0.0000, 0.5000, 0.5000], [0.5000, 0.0000, 0.5000], [0.5000, 0.5000, 0.0000], [0.5000, 0.5000, 0.5000]]
}

***

Record 17
{
  "formula": "Zn3BrCl",
  "functional": "PBE-GGA",
  "state": "relaxed",
  "total_magnetization_mub_per_fu": 0.00,
  "relative_energy_mev_per_atom": 0,
  "sg": "Pm-3m",
  "raw_formation_energy_mev_per_atom": 303,
  "lattice": [[5.2595, 0.0000, 0.0000], [0.0000, 5.2595, 0.0000], [0.0000, 0.0000, 5.2595]],
  "species": ["Zn", "Zn", "Zn", "Br", "Cl"],
  "frac_coords": [[0.0000, 0.0000, 0.5000], [0.0000, 0.5000, 0.0000], [0.5000, 0.0000, 0.0000], [0.5000, 0.5000, 0.5000], [0.0000, 0.0000, 0.0000]]
}

***

Record 18
{
  "formula": "LiCaW2",
  "functional": "PBE-GGA",
  "state": "relaxed",
  "ef_ev_per_atom": 0.83,
  "total_magnetization_mub_per_fu": 0.00,
  "relative_energy_mev_per_atom": 315,
  "sg": "Imm2",
  "lattice": [[-1.7024, 2.6267, 4.5608], [1.7024, -2.6267, 4.5608], [1.7024, 2.6267, -4.5608]],
  "species": ["Li", "Ca", "W", "W"],
  "frac_coords": [[0.0000, 0.0000, 0.0000], [0.7353, 0.2353, 0.5000], [0.2546, 0.7546, 0.5000], [0.4456, 0.4456, 0.0000]]
}

***

Record 19
{
  "formula": "Ac12CuPb6",
  "functional": "PBE-GGA",
  "state": "relaxed",
  "ef_ev_per_atom": -0.23,
  "total_magnetization_mub_per_fu": 0.00,
  "sg": "R-3",
  "lattice": [[7.2133, 4.1646, 4.5305], [-7.2133, 4.1646, 4.5305], [0.0000, -8.3292, 4.5305]],
  "species": ["Ac", "Ac", "Ac", "Ac", "Ac", "Ac", "Ac", "Ac", "Ac", "Ac", "Ac", "Ac", "Cu", "Pb", "Pb", "Pb", "Pb", "Pb", "Pb"],
  "frac_coords": [[0.0031, 0.6803, 0.9475], [0.0525, 0.9969, 0.3197], [0.1930, 0.4237, 0.5608], [0.3197, 0.0525, 0.9969], [0.4237, 0.5608, 0.1930], [0.4392, 0.8070, 0.5763], [0.5608, 0.1930, 0.4237], [0.5763, 0.4392, 0.8070], [0.6803, 0.9475, 0.0031], [0.8070, 0.5763, 0.4392], [0.9475, 0.0031, 0.6803], [0.9969, 0.3197, 0.0525], [0.0000, 0.0000, 0.0000], [0.1234, 0.6517, 0.3150], [0.3150, 0.1234, 0.6517], [0.3483, 0.6850, 0.8766], [0.6517, 0.3150, 0.1234], [0.6850, 0.8766, 0.3483], [0.8766, 0.3483, 0.6850]]
}

***

Record 20
{
  "formula": "Tl2GeP2",
  "functional": "PBE-GGA",
  "state": "relaxed",
  "ef_ev_per_atom": 0.46,
  "total_magnetization_mub_per_fu": 0.00,
  "relative_energy_mev_per_atom": 32,
  "sg": "I4/mmm",
  "lattice": [[-2.0919, 2.0919, 7.2648], [2.0919, -2.0919, 7.2648], [2.0919, 2.0919, -7.2648]],
  "species": ["Tl", "Tl", "Ge", "P", "P"],
  "frac_coords": [[0.2500, 0.7500, 0.5000], [0.7500, 0.2500, 0.5000], [0.0000, 0.0000, 0.0000], [0.4273, 0.4273, 0.0000], [0.5727, 0.5727, 0.0000]]
}